# meta-GGA SCAN ZnRh5, single point on PBEsol structure
# **Density of states at the Fermi level**: 6.7 states/eV/f.u.
# **Energy**: -30.4856 eV/atom
data_ZnRh5
_chemical_formula_sum 'Zn1 Rh5'
_cell_length_a 2.687
_cell_length_b 2.687
_cell_length_c 11.098
_cell_angle_alpha 90.00
_cell_angle_beta 90.00
_cell_angle_gamma 90.00
_symmetry_space_group_name_H-M 'P 1'
_symmetry_Int_Tables_number 1
_symmetry_space_group_name_Hall 'P 1'
loop_
_atom_site_label
_atom_site_fract_x
_atom_site_fract_y
_atom_site_fract_z
Rh1 0.000 0.000 0.165
Zn1 0.500 0.500 0.000
Rh2 0.000 0.000 0.500
Rh3 0.500 0.500 0.331
Rh4 0.000 0.000 0.835
Rh5 0.500 0.500 0.669


# meta-GGA SCAN FeTc2Hg, single point on PBEsol structure
# **Density of states at the Fermi level**: 2.8 states/eV/f.u.
# **Energy**: -38.6588 eV/atom
data_FeTc2Hg
_chemical_formula_sum 'Fe1 Tc2 Hg1'
_cell_length_a 3.763
_cell_length_b 3.763
_cell_length_c 4.865
_cell_angle_alpha 112.75
_cell_angle_beta 112.75
_cell_angle_gamma 90.00
_symmetry_space_group_name_H-M 'P 1'
_symmetry_Int_Tables_number 1
_symmetry_space_group_name_Hall 'P 1'
loop_
_atom_site_label
_atom_site_fract_x
_atom_site_fract_y
_atom_site_fract_z
Tc1 0.750 0.250 0.500
Fe1 0.500 0.500 0.000
Hg1 0.000 0.000 0.000
Tc2 0.250 0.750 0.500